[1]
# GGA-PBE CaMg3Cu2, relaxed
# **Formation enthalpy at 0 K**: -0.10 eV per atom
# **ρ**: 3.25 g cm⁻³
data_CaMg3Cu2
_symmetry_space_group_name_H-M 'C m c m'
_symmetry_Int_Tables_number 63
_symmetry_space_group_name_Hall '-C 2c 2'
_cell_length_a 9.711
_cell_length_b 9.200
_cell_length_c 5.498
_cell_angle_alpha 90.00
_cell_angle_beta 90.00
_cell_angle_gamma 90.00
loop_
_atom_site_label
_atom_site_type_symbol
_atom_site_fract_x
_atom_site_fract_y
_atom_site_fract_z
_atom_site_occupancy
Ca1 Ca 0.000 0.108 0.250 1
Mg1 Mg 0.000 0.455 0.250 1
Mg2 Mg 0.172 0.246 0.750 1
Cu1 Cu 0.239 0.500 0.000 1

=====

[2]
# GGA-PBE LaTh4Sn4, relaxed
# **Formation enthalpy at 0 K**: -0.32 eV per atom
# **ρ**: 8.02 g cm⁻³
data_LaTh4Sn4
_symmetry_space_group_name_H-M 'I 4/m'
_symmetry_Int_Tables_number 87
_symmetry_space_group_name_Hall '-I 4'
_cell_length_a 10.034
_cell_length_b 10.034
_cell_length_c 6.344
_cell_angle_alpha 90.00
_cell_angle_beta 90.00
_cell_angle_gamma 90.00
loop_
_atom_site_label
_atom_site_type_symbol
_atom_site_fract_x
_atom_site_fract_y
_atom_site_fract_z
_atom_site_occupancy
La1 La 0.000 0.000 0.000 1
Th1 Th 0.103 0.704 0.500 1
Sn1 Sn 0.097 0.696 0.000 1

=====

[3]
# GGA-PBE NdMg3Au, relaxed
# **Formation enthalpy at 0 K**: -0.09 eV per atom
# **ρ**: 4.71 g cm⁻³
data_NdMg3Au
_symmetry_space_group_name_H-M 'I -4 m 2'
_symmetry_Int_Tables_number 119
_symmetry_space_group_name_Hall 'I -4 -2'
_cell_length_a 5.638
_cell_length_b 5.638
_cell_length_c 18.364
_cell_angle_alpha 90.00
_cell_angle_beta 90.00
_cell_angle_gamma 90.00
loop_
_atom_site_label
_atom_site_type_symbol
_atom_site_fract_x
_atom_site_fract_y
_atom_site_fract_z
_atom_site_occupancy
Nd1 Nd 0.000 0.000 0.193 1
Mg1 Mg 0.000 0.246 0.622 1
Mg2 Mg 0.000 0.500 0.040 1
Au1 Au 0.000 0.000 0.500 1
Au2 Au 0.000 0.500 0.750 1

=====

[4]
# GGA-PBE LaSmPu2N4, relaxed
# **ρ**: 10.87 g cm⁻³
# **Raw formation energy**: -1.2861 eV per atom
data_LaSmPu2N4
_symmetry_space_group_name_H-M 'P 1 2/m 1'
_symmetry_Int_Tables_number 10
_cell_length_a 6.176
_cell_length_b 3.545
_cell_length_c 6.185
_cell_angle_alpha 90.00
_cell_angle_beta 110.01
_cell_angle_gamma 90.00
loop_
_symmetry_equiv_pos_as_xyz
'x,y,z'
'-x,-y,-z'
'-x,y,-z'
'x,-y,z'
loop_
_atom_site_label
_atom_site_type_symbol
_atom_site_fract_x
_atom_site_fract_y
_atom_site_fract_z
_atom_site_occupancy
La1 La 0.000 0.000 0.000 1
Sm1 Sm 0.000 0.500 0.500 1
Pu1 Pu 0.500 0.000 0.500 1
Pu2 Pu 0.500 0.500 0.000 1
N1 N 0.275 0.000 0.757 1
N2 N 0.280 0.500 0.274 1

=====

[5]
# GGA-PBE NaTi2BiO6, relaxed
# **ρ**: 5.80 g cm⁻³
# **Raw formation energy**: -2.4145 eV per atom
data_NaTi2BiO6
_symmetry_space_group_name_H-M 'R 3'
_symmetry_Int_Tables_number 146
_symmetry_space_group_name_Hall 'R 3'
_cell_length_a 5.5104
_cell_length_b 5.5104
_cell_length_c 13.8376
_cell_angle_alpha 90.00
_cell_angle_beta 90.00
_cell_angle_gamma 120.00
loop_
_atom_site_label
_atom_site_type_symbol
_atom_site_fract_x
_atom_site_fract_y
_atom_site_fract_z
_atom_site_occupancy
Na1 Na 0.0000 0.0000 0.0000 1
Ti1 Ti 0.0000 0.0000 0.2375 1
Ti2 Ti 0.0000 0.0000 0.7419 1
Bi1 Bi 0.0000 0.0000 0.5112 1
O1 O 0.9997 0.5649 0.4731 1
O2 O 0.1105 0.3429 0.3010 1

=====

[6]
# GGA-PBE Ag4HgCl, relaxed
# **ρ**: 8.71 g cm⁻³
# **Raw formation energy**: 0.0901 eV per atom
data_Ag4HgCl
_symmetry_space_group_name_H-M 'F -4 3 m'
_symmetry_Int_Tables_number 216
_symmetry_space_group_name_Hall 'F -4 2 3'
_cell_length_a 7.986
_cell_length_b 7.986
_cell_length_c 7.986
_cell_angle_alpha 90.00
_cell_angle_beta 90.00
_cell_angle_gamma 90.00
loop_
_atom_site_label
_atom_site_type_symbol
_atom_site_fract_x
_atom_site_fract_y
_atom_site_fract_z
_atom_site_occupancy
Ag1 Ag 0.125 0.125 0.125 1
Hg1 Hg 0.000 0.000 0.500 1
Cl1 Cl 0.250 0.250 0.750 1

=====

Q: What is the formula in the first record?
A: CaMg3Cu2

=====

Q: ρ of number 3 (NdMg3Au)?
A: 4.71 g cm⁻³

=====

Please write out number 1 again, unchanged.
# GGA-PBE CaMg3Cu2, relaxed
# **Formation enthalpy at 0 K**: -0.10 eV per atom
# **ρ**: 3.25 g cm⁻³
data_CaMg3Cu2
_symmetry_space_group_name_H-M 'C m c m'
_symmetry_Int_Tables_number 63
_symmetry_space_group_name_Hall '-C 2c 2'
_cell_length_a 9.711
_cell_length_b 9.200
_cell_length_c 5.498
_cell_angle_alpha 90.00
_cell_angle_beta 90.00
_cell_angle_gamma 90.00
loop_
_atom_site_label
_atom_site_type_symbol
_atom_site_fract_x
_atom_site_fract_y
_atom_site_fract_z
_atom_site_occupancy
Ca1 Ca 0.000 0.108 0.250 1
Mg1 Mg 0.000 0.455 0.250 1
Mg2 Mg 0.172 0.246 0.750 1
Cu1 Cu 0.239 0.500 0.000 1

=====

Q: What is the ρ in the fourth record?
A: 10.87 g cm⁻³